{
  "formula": "Er12GaNi6",
  "functional": "PBE",
  "state": "relaxed",
  "crystal_system": "cubic",
  "spacegroup": "Im-3 (204)",
  "formation_enthalpy_0k_ev_per_atom": -0.381,
  "energy_ev_per_atom": -5.25,
  "de_polymorph_mev_per_atom": 0,
  "lattice": [[-0.920, -5.829, -5.794], [-1.553, -3.245, 7.447], [-5.278, 6.197, -1.462]],
  "species": ["Ni", "Ni", "Ni", "Ni", "Ni", "Ni", "Er", "Er", "Er", "Er", "Er", "Er", "Er", "Er", "Er", "Er", "Er", "Er", "Ga"],
  "fractional_positions": [[0.125, 0.625, 0.500], [0.500, 0.125, 0.625], [0.375, 0.500, 0.875], [0.875, 0.375, 0.500], [0.625, 0.500, 0.125], [0.500, 0.875, 0.375], [0.700, 0.513, 0.813], [0.513, 0.813, 0.700], [0.487, 0.187, 0.300], [0.886, 0.187, 0.700], [0.300, 0.114, 0.813], [0.700, 0.886, 0.187], [0.813, 0.300, 0.114], [0.114, 0.813, 0.300], [0.300, 0.487, 0.187], [0.813, 0.700, 0.513], [0.187, 0.700, 0.886], [0.187, 0.300, 0.487], [0.000, 0.000, 0.000]]
}